GGA-PBE CdOsS, optimized geometry; VASP energy = -0.3655 Ry per atom; space group = Amm2, No. 38
1.0
-2.875 0.080 -2.707
-2.919 -5.380 2.942
-1.703 6.265 1.993
Cd Os S
3 3 3
Cartesian
-3.384 -3.548 0.608
-2.979 0.335 0.293
-2.573 4.217 -0.024
-2.577 -1.623 2.690
-2.144 2.527 2.352
-4.515 0.864 4.821
-1.019 -1.628 1.034
-0.646 1.946 0.743
-2.963 0.567 3.164